# 1
{
  "formula": "NdCrAs2Rh5",
  "functional": "PBE",
  "state": "relaxed",
  "cell": [[-0.3992, -1.7295, 3.5986], [-2.2288, -2.9041, -1.6430], [8.7463, -5.7090, -1.7736]],
  "species": ["Cr", "As", "Rh", "Rh", "Rh", "As", "Rh", "Nd", "Rh"],
  "fractional_positions": [[0.0000, 0.0000, 0.0000], [0.0000, 0.0000, 0.7250], [0.0000, 0.5000, 0.1368], [0.0000, 0.0000, 0.5000], [0.5000, 0.0000, 0.8632], [0.0000, 0.0000, 0.2750], [0.0000, 0.5000, 0.8632], [0.5000, 0.5000, 0.5000], [0.5000, 0.0000, 0.1368]],
  "total_magnetization_mub_per_atom": 0.122,
  "formation_energy_kj_per_mol_fu": -151,
  "sg": "No. 123",
  "e_tot_ev_per_atom": -6.89
}

# 2
{
  "formula": "Nd2CrAs4Rh3",
  "functional": "PBE",
  "state": "relaxed",
  "cell": [[4.2755, 0.0000, 0.0000], [0.0000, 4.2755, 0.0000], [0.0000, 0.0000, 10.1854]],
  "species": ["Nd", "As", "Rh", "As", "As", "As", "Cr", "Nd", "Rh", "Rh"],
  "fractional_positions": [[0.0000, 0.5000, 0.7578], [0.5000, 0.5000, 0.0000], [0.0000, 0.5000, 0.1217], [0.0000, 0.5000, 0.3645], [0.5000, 0.0000, 0.6355], [0.0000, 0.0000, 0.0000], [0.5000, 0.5000, 0.5000], [0.5000, 0.0000, 0.2422], [0.5000, 0.0000, 0.8783], [0.0000, 0.0000, 0.5000]],
  "total_magnetization_mub_per_atom": 0.253,
  "formation_energy_kj_per_mol_fu": -805,
  "sg": "No. 115",
  "e_tot_ev_per_atom": -6.82
}

# 3
{
  "formula": "CrNi2As",
  "functional": "PBE",
  "state": "relaxed",
  "cell": [[3.1255, 0.0000, 0.0000], [0.0000, 3.1255, 0.0000], [0.0000, 0.0000, 5.1891]],
  "species": ["Ni", "Cr", "As", "Ni"],
  "fractional_positions": [[0.5000, 0.5000, 0.2493], [0.5000, 0.5000, 0.7609], [0.0000, 0.0000, 0.4837], [0.0000, 0.0000, 0.0061]],
  "total_magnetization_mub_per_atom": 0.785,
  "formation_energy_kj_per_mol_fu": 24,
  "sg": "No. 99",
  "e_tot_ev_per_atom": -6.40
}

# 4
{
  "formula": "CrNi2As",
  "functional": "PBE",
  "state": "relaxed",
  "cell": [[-0.3855, -2.0294, 2.3901], [2.5712, -1.5827, -0.9292], [2.8913, 2.9519, 2.9727]],
  "species": ["Cr", "Ni", "Ni", "As"],
  "fractional_positions": [[0.5000, 0.5000, 0.7500], [0.0000, 0.0000, 0.9915], [0.0000, 0.0000, 0.5085], [0.5000, 0.5000, 0.2500]],
  "total_magnetization_mub_per_atom": 0.566,
  "formation_energy_kj_per_mol_fu": 10,
  "sg": "No. 123",
  "e_tot_ev_per_atom": -6.43
}

# 5
{
  "formula": "Cr2Ni9As",
  "functional": "PBE",
  "state": "relaxed",
  "cell": [[-0.5212, -1.5463, 4.0876], [4.9400, -2.0707, 1.3075], [3.7998, 4.4371, 1.9722]],
  "species": ["As", "Ni", "Ni", "Ni", "Ni", "Ni", "Ni", "Ni", "Ni", "Cr", "Ni", "Cr"],
  "fractional_positions": [[0.0000, 0.0000, 0.0000], [0.8270, 0.5004, 0.8329], [0.6651, 0.0043, 0.6631], [0.2472, 0.7539, 0.7458], [0.7528, 0.2461, 0.2542], [0.5976, 0.7471, 0.0908], [0.1730, 0.4996, 0.1671], [0.3349, 0.9957, 0.3369], [0.4024, 0.2529, 0.9092], [0.9232, 0.7288, 0.4376], [0.5000, 0.5000, 0.5000], [0.0768, 0.2712, 0.5624]],
  "total_magnetization_mub_per_atom": 0.000,
  "formation_energy_kj_per_mol_fu": -28,
  "sg": "No. 2",
  "e_tot_ev_per_atom": -6.35
}

# 6
{
  "formula": "CrNi2As",
  "functional": "PBE",
  "state": "relaxed",
  "cell": [[-2.3567, -1.1803, 0.0280], [0.8692, -1.7778, -1.7412], [2.1948, -4.2533, 5.4382]],
  "species": ["As", "Cr", "Ni", "Ni"],
  "fractional_positions": [[0.5000, 0.5000, 0.2500], [0.5000, 0.5000, 0.7500], [0.0000, 0.0000, 0.9819], [0.0000, 0.0000, 0.5181]],
  "total_magnetization_mub_per_atom": 0.124,
  "formation_energy_kj_per_mol_fu": 59,
  "sg": "No. 123",
  "e_tot_ev_per_atom": -6.31
}

# 7
{
  "formula": "CrNi2As",
  "functional": "PBE",
  "state": "relaxed",
  "cell": [[4.0852, 0.0000, 0.0000], [2.0426, 3.5379, 0.0000], [2.0426, 1.1793, 3.3356]],
  "species": ["Cr", "Ni", "Ni", "As"],
  "fractional_positions": [[0.7500, 0.7500, 0.7500], [0.0000, 0.0000, 0.0000], [0.2500, 0.2500, 0.2500], [0.5000, 0.5000, 0.5000]],
  "total_magnetization_mub_per_atom": 0.485,
  "formation_energy_kj_per_mol_fu": -5,
  "sg": "No. 216",
  "e_tot_ev_per_atom": -6.47
}

# 8
{
  "formula": "CrNi2As",
  "functional": "PBE",
  "state": "relaxed",
  "cell": [[-2.3770, 1.2188, 2.4500], [-2.5134, 0.3108, -2.5931], [-1.1078, -3.4803, 0.6566]],
  "species": ["Ni", "As", "Ni", "Cr"],
  "fractional_positions": [[0.0000, 0.0000, 0.0000], [0.5000, 0.0000, 0.5000], [0.5000, 0.5000, 0.0000], [0.0000, 0.5000, 0.5000]],
  "total_magnetization_mub_per_atom": 0.626,
  "formation_energy_kj_per_mol_fu": -37,
  "sg": "No. 123",
  "e_tot_ev_per_atom": -6.55
}

# 9
{
  "formula": "CrNi2As",
  "functional": "PBE",
  "state": "relaxed",
  "cell": [[3.5682, 0.0000, 0.0000], [0.0000, 3.5682, 0.0000], [1.7841, 1.7841, 8.4706]],
  "species": ["Ni", "As", "As", "Ni", "Cr", "Cr", "Ni", "Ni"],
  "fractional_positions": [[0.8750, 0.8816, 0.7500], [0.0000, 0.0000, 0.0000], [0.7500, 0.2500, 0.5000], [0.6316, 0.1250, 0.2500], [0.5000, 0.5000, 0.0000], [0.2500, 0.7500, 0.5000], [0.1184, 0.6250, 0.2500], [0.3750, 0.3684, 0.7500]],
  "total_magnetization_mub_per_atom": 0.674,
  "formation_energy_kj_per_mol_fu": 67,
  "sg": "No. 122",
  "e_tot_ev_per_atom": -6.29
}

# 10
{
  "formula": "CrNi2As",
  "functional": "PBE",
  "state": "relaxed",
  "cell": [[-2.0442, 1.1562, 3.6974], [-0.0740, -0.8376, 4.2988], [2.6347, 3.0541, 1.4938]],
  "species": ["Ni", "As", "Cr", "Ni"],
  "fractional_positions": [[0.9995, 0.9995, 0.0061], [0.7500, 0.7500, 0.7500], [0.2500, 0.2500, 0.2500], [0.5005, 0.5005, 0.4939]],
  "total_magnetization_mub_per_atom": 0.664,
  "formation_energy_kj_per_mol_fu": 8,
  "sg": "No. 12",
  "e_tot_ev_per_atom": -6.44
}

# 11
{
  "formula": "CrNi2As",
  "functional": "PBE",
  "state": "relaxed",
  "cell": [[-1.2737, 4.0573, 1.1932], [-3.8907, 1.4503, 1.5054], [-0.1382, 0.5777, 3.6648]],
  "species": ["Ni", "As", "Cr", "Ni"],
  "fractional_positions": [[0.7503, 0.7503, 0.7497], [0.4998, 0.4998, 0.5002], [0.2498, 0.2498, 0.2502], [0.0001, 0.0001, 0.0000]],
  "total_magnetization_mub_per_atom": 0.707,
  "formation_energy_kj_per_mol_fu": -20,
  "sg": "No. 119",
  "e_tot_ev_per_atom": -6.51
}

# 12
{
  "formula": "CrNi2As",
  "functional": "PBE",
  "state": "relaxed",
  "cell": [[3.7370, 0.0000, 0.0000], [0.0000, 2.7340, -0.0020], [0.0000, 1.3691, 4.8514]],
  "species": ["As", "Ni", "Ni", "Cr"],
  "fractional_positions": [[0.0000, 0.3043, 0.5178], [0.0000, 0.0558, 0.0130], [0.5000, 0.4430, 0.2371], [0.5000, 0.6969, 0.7321]],
  "total_magnetization_mub_per_atom": 0.466,
  "formation_energy_kj_per_mol_fu": 1,
  "sg": "No. 38",
  "e_tot_ev_per_atom": -6.46
}

What did the fourth record say?
{
  "formula": "CrNi2As",
  "functional": "PBE",
  "state": "relaxed",
  "cell": [[-0.3855, -2.0294, 2.3901], [2.5712, -1.5827, -0.9292], [2.8913, 2.9519, 2.9727]],
  "species": ["Cr", "Ni", "Ni", "As"],
  "fractional_positions": [[0.5000, 0.5000, 0.7500], [0.0000, 0.0000, 0.9915], [0.0000, 0.0000, 0.5085], [0.5000, 0.5000, 0.2500]],
  "total_magnetization_mub_per_atom": 0.566,
  "formation_energy_kj_per_mol_fu": 10,
  "sg": "No. 123",
  "e_tot_ev_per_atom": -6.43
}